Entry from Alexandria: a geometry-optimized LaNb2CdIn structure (PBE).

Summary:
D(E_F): 5.69 states/eV per cell
Final energy: -4.46 eV per atom
ΔE_f: 1.28 eV/atom
V: 31.208 A^3/atom

Structure (extended XYZ):
```
5
Lattice="5.1994 0.0000 0.0000 0.0000 5.7720 0.0000 0.0000 0.0000 5.1994" Properties=species:S:1:pos:R:3 pbc="T T T"
Cd 2.5997 2.8860 2.5997
Nb 0.0000 0.0000 2.5997
Nb 2.5997 0.0000 0.0000
In 0.0000 0.0000 0.0000
La 0.0000 2.8860 0.0000
```